## A
Computed, not measured: a relaxed structure of GaCo15 at the PBE-GGA level of DFT.

```
GaCo15
1.0
-6.103 2.891 -1.859
-1.062 -0.922 2.053
8.141 27.962 16.769
Co Ga
30 2
Direct
0.869 0.500 0.741
0.625 0.000 0.333
0.375 0.500 0.667
0.875 0.500 0.667
0.875 0.500 0.370
0.125 0.000 0.333
0.381 0.500 0.741
0.376 0.500 0.592
0.875 0.500 0.298
0.874 0.500 0.592
0.125 0.000 0.555
0.625 0.000 0.704
0.375 0.500 0.444
0.625 0.000 0.629
0.625 0.000 0.775
0.619 0.000 0.259
0.375 0.500 0.519
0.125 0.000 0.630
0.131 0.000 0.259
0.125 0.000 0.408
0.375 0.500 0.371
0.624 0.000 0.408
0.125 0.000 0.702
0.875 0.500 0.445
0.625 0.000 0.556
0.375 0.500 0.225
0.625 0.000 0.481
0.375 0.500 0.296
0.125 0.000 0.482
0.875 0.500 0.518
0.875 0.500 0.222
0.125 0.000 0.779
```


## B
Computed, not measured: a relaxed structure of GaCo15 at the PBE-GGA level of DFT.

```
GaCo15
1.0
-0.034 -3.784 -2.028
32.852 -3.804 6.546
-0.898 -0.606 4.155
Co Ga
30 2
Direct
0.000 0.740 0.500
0.000 0.445 0.500
0.000 0.592 0.500
0.000 0.702 0.000
0.000 0.297 0.500
0.500 0.774 0.500
0.500 0.592 0.000
0.000 0.555 0.000
0.000 0.630 0.000
0.500 0.740 0.000
0.500 0.408 0.500
0.500 0.370 0.000
0.000 0.482 0.000
0.500 0.333 0.500
0.000 0.667 0.500
0.500 0.518 0.000
0.000 0.333 0.000
0.500 0.445 0.000
0.000 0.408 0.000
0.500 0.555 0.500
0.000 0.519 0.500
0.000 0.226 0.500
0.000 0.371 0.500
0.500 0.481 0.500
0.500 0.260 0.500
0.500 0.298 0.000
0.000 0.260 0.000
0.500 0.667 0.000
0.500 0.629 0.500
0.500 0.703 0.500
0.000 0.779 0.000
0.500 0.221 0.000
```


## C
Computed, not measured: a relaxed structure of GaCo15 at the PBE-GGA level of DFT.

```
GaCo15
1.0
-0.981 -2.150 2.586
3.099 -1.625 -0.176
15.472 26.483 27.881
Co Ga
30 2
Direct
0.000 0.500 0.733
0.000 0.500 0.225
0.000 0.500 0.309
0.000 0.000 0.436
0.000 0.500 0.479
0.500 0.000 0.394
0.000 0.500 0.818
0.000 0.000 0.606
0.000 0.500 0.564
0.500 0.500 0.691
0.500 0.000 0.649
0.000 0.000 0.691
0.000 0.000 0.351
0.500 0.500 0.351
0.500 0.500 0.267
0.500 0.000 0.479
0.500 0.500 0.182
0.500 0.500 0.436
0.000 0.000 0.521
0.500 0.500 0.521
0.000 0.500 0.649
0.500 0.500 0.775
0.000 0.500 0.394
0.000 0.000 0.775
0.500 0.000 0.225
0.500 0.000 0.734
0.000 0.000 0.266
0.500 0.000 0.309
0.500 0.500 0.606
0.500 0.000 0.564
0.500 0.000 0.822
0.000 0.000 0.178
```


On energetic grounds, C is preferred over the next structure by 40 meV per atom.


## A
Computed, not measured: a relaxed structure of GaCo15 at the PBE-GGA level of DFT.

```
GaCo15
1.0
4.961 0.000 0.000
0.000 3.508 0.000
-0.002 0.000 33.642
Co Ga
30 2
Direct
0.625 0.250 0.945
0.625 0.250 0.018
0.625 0.250 0.167
0.125 0.250 0.944
0.374 0.750 0.760
0.125 0.250 0.167
0.625 0.250 0.092
0.875 0.750 0.981
0.124 0.250 0.240
0.375 0.750 0.833
0.625 0.250 0.798
0.375 0.750 0.055
0.125 0.250 0.725
0.125 0.250 0.871
0.375 0.750 0.982
0.125 0.250 0.092
0.875 0.750 0.129
0.875 0.750 0.275
0.875 0.750 0.833
0.875 0.750 0.056
0.875 0.750 0.908
0.375 0.750 0.202
0.125 0.250 0.019
0.125 0.250 0.796
0.626 0.250 0.240
0.375 0.750 0.129
0.375 0.750 0.908
0.625 0.250 0.871
0.875 0.750 0.204
0.876 0.750 0.760
0.625 0.250 0.721
0.375 0.750 0.279
```


## B
Computed, not measured: a relaxed structure of GaCo15 at the PBE-GGA level of DFT.

```
GaCo15
1.0
-2.472 4.269 -0.497
-0.687 -0.119 2.395
33.989 20.928 10.786
Co Ga
30 2
Direct
0.124 0.500 0.309
0.625 0.500 0.564
0.875 0.000 0.267
0.375 0.000 0.436
0.625 0.500 0.479
0.374 0.000 0.691
0.626 0.500 0.309
0.625 0.500 0.816
0.375 0.000 0.606
0.875 0.000 0.436
0.375 0.000 0.521
0.125 0.500 0.479
0.125 0.500 0.649
0.125 0.500 0.733
0.375 0.000 0.351
0.625 0.500 0.734
0.875 0.000 0.351
0.125 0.500 0.564
0.877 0.000 0.691
0.622 0.500 0.224
0.875 0.000 0.606
0.128 0.500 0.224
0.378 0.000 0.776
0.872 0.000 0.776
0.125 0.500 0.394
0.625 0.500 0.649
0.875 0.000 0.521
0.375 0.000 0.266
0.375 0.000 0.183
0.625 0.500 0.394
0.125 0.500 0.823
0.875 0.000 0.177
```


On energetic grounds, B is preferred over the next structure by 23 meV per atom.


## A
Computed, not measured: a relaxed structure of GaCo17 at the PBE-GGA level of DFT.

```
GaCo17
1.0
4.288 0.000 0.000
0.000 4.950 0.000
-0.013 0.000 31.315
Ga Co
2 34
Direct
0.668 0.500 0.770
0.332 0.000 0.230
0.334 0.500 0.435
0.666 0.000 0.565
0.166 0.250 0.565
0.335 0.000 0.631
0.499 0.249 0.695
0.166 0.250 0.371
0.000 0.000 0.695
0.834 0.750 0.630
0.333 0.000 0.435
0.166 0.750 0.371
0.669 0.000 0.370
0.834 0.250 0.630
0.000 0.500 0.305
0.337 0.500 0.242
0.663 0.000 0.758
0.833 0.749 0.242
0.167 0.751 0.758
0.500 0.750 0.500
0.501 0.749 0.305
0.833 0.251 0.242
0.834 0.750 0.435
0.501 0.251 0.305
0.167 0.249 0.758
0.500 0.250 0.500
0.998 0.000 0.306
0.331 0.500 0.630
0.499 0.751 0.695
0.667 0.500 0.565
0.000 0.500 0.500
0.834 0.250 0.435
0.166 0.750 0.565
0.000 0.000 0.500
0.665 0.500 0.369
0.002 0.500 0.694
```


## B
Computed, not measured: a relaxed structure of GaCo17 at the PBE-GGA level of DFT.

```
GaCo17
1.0
4.964 0.000 0.000
-2.482 4.299 0.000
0.000 0.000 31.244
Ga Co
2 34
Direct
0.333 0.667 0.767
0.667 0.333 0.233
0.664 0.832 0.242
0.168 0.832 0.242
0.500 0.500 0.500
0.834 0.667 0.565
0.000 0.000 0.695
0.667 0.834 0.435
0.502 0.498 0.694
0.166 0.834 0.435
0.005 0.502 0.306
0.832 0.664 0.758
0.995 0.498 0.694
0.166 0.333 0.435
0.168 0.336 0.242
0.333 0.667 0.370
0.500 0.000 0.500
0.502 0.005 0.694
0.667 0.333 0.630
0.332 0.166 0.370
0.667 0.333 0.435
0.336 0.168 0.758
0.333 0.667 0.565
0.832 0.168 0.758
0.166 0.332 0.630
0.000 0.000 0.500
0.498 0.995 0.306
0.668 0.834 0.630
0.000 0.000 0.305
0.834 0.668 0.370
0.000 0.500 0.500
0.333 0.166 0.565
0.498 0.502 0.306
0.834 0.166 0.565
0.166 0.834 0.630
0.834 0.166 0.370
```


On energetic grounds, A is preferred over the next structure by 6 meV per atom.


## A
Computed, not measured: a relaxed structure of MgGaCoGe at the PBE-GGA level of DFT.

```
MgGaCoGe
1.0
-1.004 -4.083 -1.210
-0.666 -3.080 3.035
-4.030 -1.558 0.688
Ga Ge Mg Co
1 1 1 1
Direct
0.000 0.000 0.000
0.500 0.500 0.500
0.750 0.750 0.750
0.250 0.250 0.250
```


## B
Computed, not measured: a relaxed structure of MgGaCoGe at the PBE-GGA level of DFT.

```
MgGaCoGe
1.0
0.000 3.133 3.133
3.133 0.000 3.133
3.133 3.133 0.000
Co Ga Ge Mg
1 1 1 1
Direct
0.500 0.500 0.500
0.000 0.000 0.000
0.250 0.250 0.250
0.750 0.750 0.750
```


On energetic grounds, A is preferred over the next structure by 152 meV per atom.


## A
Computed, not measured: a relaxed structure of HfGaCoPd at the PBE-GGA level of DFT.

```
HfGaCoPd
1.0
0.273 -1.035 4.278
-1.034 2.998 3.064
-3.674 -0.470 2.394
Pd Co Hf Ga
1 1 1 1
Direct
0.250 0.250 0.250
0.750 0.750 0.750
0.500 0.500 0.500
0.000 0.000 0.000
```


## B
Computed, not measured: a relaxed structure of HfGaCoPd at the PBE-GGA level of DFT.

```
HfGaCoPd
1.0
-0.300 -4.004 1.935
-1.565 -0.354 4.158
-3.998 -1.830 0.728
Hf Ga Pd Co
1 1 1 1
Direct
0.250 0.250 0.250
0.000 0.000 0.000
0.500 0.500 0.500
0.750 0.750 0.750
```


On energetic grounds, A is preferred over the next structure by 278 meV per atom.


## A
Computed, not measured: a relaxed structure of HfZnGaCo at the PBE-GGA level of DFT.

```
HfZnGaCo
1.0
0.000 3.095 3.095
3.095 0.000 3.095
3.095 3.095 0.000
Zn Hf Ga Co
1 1 1 1
Direct
0.500 0.500 0.500
0.250 0.250 0.250
0.000 0.000 0.000
0.750 0.750 0.750
```


## B
Computed, not measured: a relaxed structure of HfZnGaCo at the PBE-GGA level of DFT.

```
HfZnGaCo
1.0
-1.004 2.686 3.290
-3.287 2.839 -0.426
-3.695 -0.588 2.246
Ga Co Zn Hf
1 1 1 1
Direct
0.000 0.000 0.000
0.750 0.750 0.750
0.250 0.250 0.250
0.500 0.500 0.500
```


On energetic grounds, B is preferred over the next structure by 111 meV per atom.


## A
Computed, not measured: a relaxed structure of GaCoReHg at the PBE-GGA level of DFT.

```
GaCoReHg
1.0
1.103 -2.930 3.169
-3.138 -1.651 2.696
-1.243 -4.261 -0.376
Co Ga Re Hg
1 1 1 1
Direct
0.750 0.750 0.750
0.000 0.000 0.000
0.500 0.500 0.500
0.250 0.250 0.250
```


## B
Computed, not measured: a relaxed structure of GaCoReHg at the PBE-GGA level of DFT.

```
GaCoReHg
1.0
1.335 0.924 4.108
-1.546 3.582 2.071
-2.803 -0.443 3.385
Hg Co Ga Re
1 1 1 1
Direct
0.500 0.500 0.500
0.750 0.750 0.750
0.000 0.000 0.000
0.250 0.250 0.250
```


On energetic grounds, B is preferred over the next structure by 143 meV per atom.


## A
Computed, not measured: a relaxed structure of GaCoHgW at the PBE-GGA level of DFT.

```
GaCoHgW
1.0
-1.365 -4.188 -0.720
-1.082 -2.619 3.449
-4.265 -1.110 0.707
Hg Ga Co W
1 1 1 1
Direct
0.500 0.500 0.500
0.000 0.000 0.000
0.750 0.750 0.750
0.250 0.250 0.250
```


## B
Computed, not measured: a relaxed structure of GaCoHgW at the PBE-GGA level of DFT.

```
GaCoHgW
1.0
0.000 3.155 3.155
3.155 0.000 3.155
3.155 3.155 0.000
Hg Ga Co W
1 1 1 1
Direct
0.250 0.250 0.250
0.000 0.000 0.000
0.750 0.750 0.750
0.500 0.500 0.500
```


On energetic grounds, A is preferred over the next structure by 64 meV per atom.